# BaSnIO2

A PBEsol-optimized structure of BaSnIO2 (SCAN, Alexandria via LeMat-Bulk).

a = 4.6467 Å, b = 4.6467 Å, c = 6.5669 Å
α = 90.00°, β = 90.00°, γ = 90.00°
Last column: nearest neighbours and their distance in Å.
Space group P4/mmm (No. 123)
Symmetry-distinct sites (fractional):
Ba1 0.0000 0.0000 0.0000  4 O 2.32
Sn1 0.5000 0.5000 0.5000  4 I 3.29
I1 0.0000 0.0000 0.5000  2 Ba 3.28, 4 Sn 3.29
O1 0.0000 0.5000 0.0000  2 Ba 2.32

- E_form (uncorrected): -0.3925 eV per atom

# MgZnCd2

A PBEsol-optimized structure of MgZnCd2 (SCAN, Alexandria via LeMat-Bulk).

a = 3.2113 Å, b = 4.8490 Å, c = 10.0546 Å
α = 90.00°, β = 90.00°, γ = 90.00°
Last column: nearest neighbours and their distance in Å.
Space group Immm (No. 71)
Symmetry-distinct sites (fractional):
Mg1 0.0000 0.0000 0.0000  4 Zn 2.91, 4 Cd 3.15, 2 Mg 3.21
Zn1 0.0000 0.0000 0.5000  4 Cd 2.82, 4 Mg 2.91
Cd1 0.0000 0.5000 0.2310  2 Zn 2.82, 4 Cd 2.93, 2 Mg 3.15

- Energy above the most stable polymorph in this dataset: 0.223 eV per formula unit
- Calculated formation energy: 0.013 eV/atom

# Li2Co3TeO8

A PBEsol-optimized structure of Li2Co3TeO8 (SCAN, Alexandria via LeMat-Bulk).

a = 5.7333 Å, b = 5.7333 Å, c = 14.5428 Å
α = 90.00°, β = 90.00°, γ = 120.00°
Last column: nearest neighbours and their distance in Å.
Space group R-3m (No. 166, hexagonal axes)
Symmetry-distinct sites (fractional):
Li1 0.0000 0.0000 0.1316  4 O 1.96-2.00
Co1 0.0000 0.5000 0.0000  6 O 1.90-1.95
Te1 0.0000 0.0000 0.5000  6 O 1.99
O1 0.0000 0.0000 0.2694  3 Co 1.90, 1 Li 2.00
O2 0.0282 0.5141 0.2551  2 Co 1.95, 1 Li 1.96, 1 Te 1.99

- Energy above the most stable polymorph in this dataset: 0.000 eV per formula unit
- E_form (uncorrected): -1.5480 eV per atom

# SrZnP2S

A PBEsol-optimized structure of SrZnP2S (SCAN, Alexandria via LeMat-Bulk).

a = 4.6111 Å, b = 4.6111 Å, c = 4.9459 Å
α = 90.00°, β = 90.00°, γ = 90.00°
Last column: nearest neighbours and their distance in Å.
Space group P4/mmm (No. 123)
Symmetry-distinct sites (fractional):
Sr1 0.0000 0.0000 0.0000  4 S 3.26, 8 P 3.38
Zn1 0.5000 0.5000 0.5000  4 P 2.31, 2 S 2.47
P1 0.0000 0.5000 0.5000  2 Zn 2.31
S1 0.5000 0.5000 0.0000  2 Zn 2.47

- E_form (uncorrected): -0.1643 eV per atom

# Sr2ZrBr

A PBEsol-optimized structure of Sr2ZrBr (SCAN, Alexandria via LeMat-Bulk).

a = 7.9582 Å, b = 7.9582 Å, c = 7.9582 Å
α = 90.00°, β = 90.00°, γ = 90.00°
Last column: nearest neighbours and their distance in Å.
Space group F-43m (No. 216)
Symmetry-distinct sites (fractional):
Sr1 0.0000 0.0000 0.0000  4 Zr 3.45, 4 Sr 3.45
Sr2 0.2500 0.2500 0.2500  4 Br 3.45, 4 Sr 3.45
Zr1 0.2500 0.2500 0.7500  4 Br 3.45, 4 Sr 3.45
Br1 0.0000 0.0000 0.5000  4 Zr 3.45, 4 Sr 3.45

- Energy above the most stable polymorph in this dataset: 2.588 eV per formula unit
- E_form (uncorrected): 0.4757 eV per atom

# CaCdSn

A PBEsol-optimized structure of CaCdSn (SCAN, Alexandria via LeMat-Bulk).

a = 7.5565 Å, b = 7.5565 Å, c = 4.6313 Å
α = 90.00°, β = 90.00°, γ = 120.00°
Last column: nearest neighbours and their distance in Å.
Space group P-62m (No. 189)
Symmetry-distinct sites (fractional):
Ca1 0.0000 0.5734 0.0000  5 Sn 3.22-3.23, 2 Cd 3.36
Cd1 0.0000 0.2505 0.5000  4 Sn 2.88-2.99
Sn1 0.0000 0.0000 0.0000  6 Cd 2.99, 3 Ca 3.22
Sn2 0.3333 0.6667 0.5000  3 Cd 2.88

- Calculated formation energy: -0.598 eV/atom

Number 1: M_tot 0.2 Bohr magnetons per cell, V 141.79 Å³ per cell. Number 2: M_tot 0.0 Bohr magnetons per cell, V 156.57 Å³ per cell. Number 3: M_tot 2.9 Bohr magnetons per cell, V 413.99 Å³ per cell. Number 4: M_tot 0.0 Bohr magnetons per cell, V 105.16 Å³ per cell. Number 5: M_tot 3.0 Bohr magnetons per cell, V 504.01 Å³ per cell. Number 6: M_tot 0.0 Bohr magnetons per cell, V 229.02 Å³ per cell.